Entry 1:
A relaxed structure of AcLaNiRh. Source: Alexandria, functional GGA-PBE.

Properties
* excess energy over the best structure of this formula in the dataset: 104 meV/atom
* symmetry: No. 216
* formation enthalpy at 0 K: -0.411 eV/atom
* energy: -5.95 eV/atom

Cell: 5.1425 5.1425 5.1425 Å, 60.00 60.00 60.00°
Positions (direct):
Rh  0.0000  0.0000  0.0000
La  0.2500  0.2500  0.2500
Ac  0.7500  0.7500  0.7500
Ni  0.5000  0.5000  0.5000

Entry 2:
A relaxed structure of ZnSiAu2. Source: Alexandria, functional GGA-PBE.

Properties
* symmetry: No. 122
* energy: -3.26 eV/atom

Cell: 4.1916 4.1916 8.9493 Å, 76.46 76.46 90.00°
Positions (direct):
Si  0.2500  0.7500  0.5000
Si  0.5000  0.5000  0.0000
Au  0.6115  0.1250  0.2500
Au  0.8750  0.8615  0.7500
Au  0.1385  0.6250  0.2500
Au  0.3750  0.3885  0.7500
Zn  0.7500  0.2500  0.5000
Zn  0.0000  0.0000  0.0000

Entry 3:
A relaxed structure of NaNi6Ge6. Source: Alexandria, functional GGA-PBE.

Properties
* symmetry: No. 71
* formation enthalpy at 0 K: -0.266 eV/atom
* energy: -5.17 eV/atom

Cell: 5.1020 6.4528 6.4528 Å, 75.68 66.71 66.71°
Positions (direct):
Ni  0.5000  0.5000  0.0000
Ni  0.5000  0.7448  0.2552
Ni  0.5000  0.2552  0.7448
Ni  0.0000  0.5000  0.0000
Ni  0.0000  0.0000  0.5000
Ni  0.5000  0.0000  0.5000
Ge  0.6676  0.3324  0.3324
Ge  0.6655  0.8345  0.8345
Ge  0.3345  0.1655  0.1655
Ge  0.0000  0.6576  0.3424
Ge  0.0000  0.3424  0.6576
Ge  0.3324  0.6676  0.6676
Na  0.0000  0.0000  0.0000

Entry 4:
A relaxed structure of Nd4AgBr5. Source: Alexandria, functional GGA-PBE.

Properties
* symmetry: No. 12
* energy: -4.30 eV/atom

Cell: 4.1014 8.9451 9.5211 Å, 101.13 102.44 90.00°
Positions (direct):
Ag  0.5000  0.0000  0.0000
Nd  0.6645  0.0699  0.3290
Nd  0.0039  0.2342  0.0079
Nd  0.3355  0.9301  0.6710
Nd  0.9961  0.7658  0.9921
Br  0.1678  0.8173  0.3357
Br  0.5000  0.5000  0.0000
Br  0.8322  0.1827  0.6643
Br  0.8312  0.6797  0.6624
Br  0.1688  0.3203  0.3376

Entry 5:
A relaxed structure of Cs2GaAu2. Source: Alexandria, functional GGA-PBE.

Properties
* excess energy over the best structure of this formula in the dataset: 0 meV/atom
* symmetry: No. 14
* formation enthalpy at 0 K: -0.273 eV/atom
* energy: -2.53 eV/atom

Cell: 8.5193 8.4802 10.5500 Å, 90.00 104.49 90.00°
Positions (direct):
Au  0.6712  0.3190  0.4431
Au  0.2791  0.5474  0.1769
Au  0.1712  0.1810  0.4431
Au  0.2209  0.0474  0.8231
Au  0.3288  0.6810  0.5569
Au  0.7209  0.4526  0.8231
Au  0.8288  0.8190  0.5569
Au  0.7791  0.9526  0.1769
Cs  0.9292  0.5895  0.3137
Cs  0.0708  0.4105  0.6863
Cs  0.4292  0.9105  0.3137
Cs  0.5708  0.0895  0.6863
Cs  0.0307  0.2241  0.0775
Cs  0.4693  0.7241  0.9225
Cs  0.5307  0.2759  0.0775
Cs  0.9693  0.7759  0.9225
Ga  0.3652  0.4168  0.4180
Ga  0.6348  0.5832  0.5820
Ga  0.1348  0.9168  0.5820
Ga  0.8652  0.0832  0.4180

Entry 6:
A relaxed structure of LiP2Os. Source: Alexandria, functional GGA-PBE.

Properties
* excess energy over the best structure of this formula in the dataset: 185 meV/atom
* symmetry: No. 8
* formation enthalpy at 0 K: -0.056 eV/atom
* energy: -6.05 eV/atom

Cell: 4.6536 4.6536 4.1814 Å, 78.18 78.18 36.92°
Positions (direct):
Os  0.2792  0.2792  0.1609
Li  0.4889  0.4889  0.5537
P  0.7245  0.7245  0.7400
P  0.0074  0.0074  0.0453

Entry 7:
A relaxed structure of La12Co5Pd. Source: Alexandria, functional GGA-PBE.

Properties
* symmetry: No. 12
* formation enthalpy at 0 K: -0.161 eV/atom
* energy: -5.71 eV/atom

Cell: 7.1242 7.1208 13.0884 Å, 95.15 100.33 59.99°
Positions (direct):
Co  0.8337  0.3326  0.5000
Co  0.3334  0.3333  0.0000
Co  0.1663  0.6674  0.5000
Co  0.5000  0.0000  0.5000
Co  0.6667  0.6667  0.0000
Pd  0.0000  0.0000  0.0000
La  0.5381  0.3317  0.6120
La  0.4619  0.6683  0.3880
La  0.7982  0.0000  0.3870
La  0.2018  0.0000  0.6130
La  0.3129  0.6468  0.8809
La  0.0403  0.6468  0.1191
La  0.8698  0.6683  0.6120
La  0.3924  0.0000  0.1190
La  0.6871  0.3532  0.1191
La  0.6076  0.0000  0.8810
La  0.9597  0.3532  0.8809
La  0.1302  0.3317  0.3880

Entry 8:
A relaxed structure of La2Sn8Pd. Source: Alexandria, functional GGA-PBE.

Properties
* symmetry: No. 123
* formation enthalpy at 0 K: -0.482 eV/atom
* energy: -4.76 eV/atom

Cell: 4.8186 4.8186 12.6517 Å, 90.00 90.00 90.00°
Positions (direct):
Sn  0.0000  0.5000  0.8772
Sn  0.5000  0.0000  0.1228
Sn  0.0000  0.5000  0.1228
Sn  0.5000  0.0000  0.5000
Sn  0.5000  0.5000  0.3084
Sn  0.5000  0.5000  0.6916
Sn  0.5000  0.0000  0.8772
Sn  0.0000  0.5000  0.5000
La  0.0000  0.0000  0.3138
La  0.0000  0.0000  0.6862
Pd  0.0000  0.0000  0.0000

Entry 9:
A relaxed structure of Pr3Sm5Tm2. Source: Alexandria, functional GGA-PBE.

Properties
* excess energy over the best structure of this formula in the dataset: 63 meV/atom
* symmetry: No. 72
* formation enthalpy at 0 K: 0.245 eV/atom
* energy: -4.44 eV/atom

Cell: 6.8063 11.1525 11.1525 Å, 61.04 72.23 72.23°
Positions (direct):
Pr  0.6697  0.5370  0.1235
Pr  0.2500  0.0000  0.0000
Pr  0.1697  0.1235  0.5370
Pr  0.7500  0.0000  0.0000
Pr  0.3303  0.4630  0.8765
Pr  0.8303  0.8765  0.4630
Tm  0.0258  0.7379  0.2105
Tm  0.5258  0.2105  0.7379
Tm  0.4742  0.7895  0.2621
Tm  0.9742  0.2621  0.7895
Sm  0.5700  0.1800  0.1800
Sm  0.2500  0.5000  0.5000
Sm  0.8293  0.5659  0.7755
Sm  0.7500  0.5000  0.5000
Sm  0.3293  0.7755  0.5659
Sm  0.9300  0.8200  0.8200
Sm  0.0700  0.1800  0.1800
Sm  0.1707  0.4341  0.2245
Sm  0.4300  0.8200  0.8200
Sm  0.6707  0.2245  0.4341

Entry 10:
A relaxed structure of Pm12YAl3. Source: Alexandria, functional GGA-PBE.

Properties
* symmetry: No. 123
* formation enthalpy at 0 K: -0.114 eV/atom
* energy: -4.78 eV/atom

Cell: 4.9070 4.9070 20.0070 Å, 90.00 90.00 90.00°
Positions (direct):
Al  0.0000  0.0000  0.5000
Al  0.0000  0.0000  0.2579
Al  0.0000  0.0000  0.7421
Pm  0.5000  0.5000  0.0000
Pm  0.0000  0.5000  0.1351
Pm  0.5000  0.5000  0.2573
Pm  0.5000  0.0000  0.3783
Pm  0.0000  0.5000  0.6217
Pm  0.5000  0.5000  0.7427
Pm  0.5000  0.0000  0.8649
Pm  0.5000  0.0000  0.6217
Pm  0.0000  0.5000  0.8649
Pm  0.0000  0.5000  0.3783
Pm  0.5000  0.5000  0.5000
Pm  0.5000  0.0000  0.1351
Y  0.0000  0.0000  0.0000

Entry 11:
A relaxed structure of Sc5N4. Source: Alexandria, functional GGA-PBE.

Properties
* excess energy over the best structure of this formula in the dataset: 830 meV/atom
* symmetry: No. 139
* energy: -7.76 eV/atom

Cell: 2.9501 6.7124 6.7124 Å, 87.23 77.31 77.31°
Each line ends with the local moment (μB).
Positions (direct):
Sc  0.0000  0.0000  0.0000  0.35
Sc  0.7352  0.2648  0.2648  0.12
Sc  0.0000  0.7352  0.2648  0.12
Sc  0.0000  0.2648  0.7352  0.12
Sc  0.2648  0.7352  0.7352  0.12
N  0.6453  0.7093  0.0000  -0.02
N  0.3547  0.0000  0.2907  -0.02
N  0.3547  0.2907  0.0000  -0.02
N  0.6453  0.0000  0.7093  -0.02

Entry 12:
A relaxed structure of K4Na2Hg5. Source: Alexandria, functional GGA-PBE.

Properties
* symmetry: No. 72
* formation enthalpy at 0 K: -0.204 eV/atom
* energy: -0.98 eV/atom

Cell: 6.4928 10.7149 12.7572 Å, 114.83 104.74 90.00°
Positions (direct):
K  0.5633  0.3269  0.1266
K  0.3534  0.9761  0.7069
K  0.6466  0.0239  0.2931
K  0.0633  0.7997  0.1266
K  0.1466  0.2693  0.2931
K  0.9367  0.2003  0.8734
K  0.4367  0.6731  0.8734
K  0.8534  0.7307  0.7069
Na  0.0541  0.3041  0.6083
Na  0.5541  0.3041  0.6083
Na  0.4459  0.6959  0.3917
Na  0.9459  0.6959  0.3917
Hg  0.9279  0.5037  0.8559
Hg  0.2500  0.0000  0.0000
Hg  0.0721  0.4963  0.1441
Hg  0.2798  0.5728  0.5597
Hg  0.7798  0.9869  0.5597
Hg  0.7500  0.0000  0.0000
Hg  0.7202  0.4272  0.4403
Hg  0.4279  0.3522  0.8559
Hg  0.2202  0.0131  0.4403
Hg  0.5721  0.6478  0.1441